Record 1
Material: Sb3Pd
Method: DFT, PBE-GGA
State: relaxed

Lattice parameters (Å, degrees): 3.238 5.210 6.891 112.21 103.59 90.00
Element x y z (fractional)
1 Sb 0.329 0.676 0.659
2 Sb 0.500 0.448 0.000
3 Sb 0.671 0.018 0.341
4 Pd 0.000 0.025 0.000

Calculated values
space group: No. 44
energy above the lowest structure with this stoichiometry: 0.027 eV per atom
E_form (uncorrected): -38 kJ/mol of formula units
total DFT energy (no corrections): -4.488 eV per atom
spin magnetization: 0.00 μB per atom
DOS at the Fermi energy: 1.32 states/eV per cell


Record 2
Material: SbPd
Method: DFT, PBE-GGA
State: relaxed

Lattice parameters (Å, degrees): 8.717 14.762 6.315 90.00 90.00 90.00
Element x y z (fractional)
1 Sb 0.000 0.000 0.248
2 Sb 0.000 0.000 0.752
3 Sb 0.250 0.750 0.002
4 Sb 0.250 0.750 0.498
5 Sb 0.000 0.500 0.748
6 Sb 0.000 0.500 0.252
7 Sb 0.250 0.250 0.502
8 Sb 0.250 0.250 0.998
9 Sb 0.500 0.000 0.748
10 Sb 0.500 0.000 0.252
11 Sb 0.750 0.750 0.502
12 Sb 0.750 0.750 0.998
13 Sb 0.500 0.500 0.248
14 Sb 0.500 0.500 0.752
15 Sb 0.750 0.250 0.002
16 Sb 0.750 0.250 0.498
17 Pd 0.000 0.353 0.000
18 Pd 0.000 0.647 0.000
19 Pd 0.250 0.397 0.250
20 Pd 0.250 0.103 0.250
21 Pd 0.000 0.853 0.500
22 Pd 0.000 0.147 0.500
23 Pd 0.250 0.897 0.750
24 Pd 0.250 0.603 0.750
25 Pd 0.500 0.353 0.500
26 Pd 0.500 0.647 0.500
27 Pd 0.750 0.397 0.750
28 Pd 0.750 0.103 0.750
29 Pd 0.500 0.853 0.000
30 Pd 0.500 0.147 0.000
31 Pd 0.750 0.897 0.250
32 Pd 0.750 0.603 0.250

Calculated values
space group: No. 70
E_form (uncorrected): -22 kJ/mol of formula units
total DFT energy (no corrections): -4.771 eV per atom
spin magnetization: 0.00 μB per atom
DOS at the Fermi energy: 19.18 states/eV per cell